A geometry-optimized Rb2VPtO4 structure, computed with PBE+U.

a b c (Å): 6.4153 6.4153 7.0167
angles (deg): 90.00 90.00 90.00
Closest atoms and distances in Å follow each position.
Space group I-4 (No. 82)
Unique sites:
Rb 0.0000 0.0000 0.0000 (multiplicity 2)  4 O 2.89
Rb 0.0000 0.5000 0.2500 (multiplicity 2)  4 O 2.83
V 0.0000 0.5000 0.7500 (multiplicity 2)  4 O 1.78
Pt 0.0000 0.0000 0.5000 (multiplicity 2)  4 O 2.19
O 0.1074 0.3058 0.5988 (multiplicity 8)  1 V 1.78

Results
N(E_F): 0.11 states/eV per atom
final energy: -5.736 eV/atom